# 1
# Na2Sn2As | Alexandria | PBE-GGA | optimized geometry
# relative energy among the computed polymorphs	246	meV per atom
# formation energy from the elements	0.1599	eV per atom
data_Na2Sn2As
_symmetry_space_group_name_H-M 'I 4/m m m'
_symmetry_Int_Tables_number 139
_symmetry_space_group_name_Hall '-I 4 2'
_cell_length_a 4.200
_cell_length_b 4.200
_cell_length_c 15.239
_cell_angle_alpha 90.00
_cell_angle_beta 90.00
_cell_angle_gamma 90.00
loop_
_atom_site_label
_atom_site_fract_x
_atom_site_fract_y
_atom_site_fract_z
Na1 0.000 0.500 0.250
Sn1 0.000 0.000 0.091
As1 0.000 0.000 0.500

---

# 2
# La2Nd15Sm2 | Alexandria | PBE-GGA | optimized geometry
# formation energy from the elements	0.2350	eV per atom
data_La2Nd15Sm2
_symmetry_space_group_name_H-M 'R -3 m'
_symmetry_Int_Tables_number 166
_symmetry_space_group_name_Hall '-R 3 2"'
_cell_length_a 11.5021
_cell_length_b 11.5021
_cell_length_c 18.1973
_cell_angle_alpha 90.00
_cell_angle_beta 90.00
_cell_angle_gamma 120.00
loop_
_atom_site_label
_atom_site_fract_x
_atom_site_fract_y
_atom_site_fract_z
La1 0.0000 0.0000 0.1760
Nd1 0.0000 0.2960 0.5000
Nd2 0.0000 0.5000 0.0000
Nd3 0.0158 0.5079 0.6360
Sm1 0.0000 0.0000 0.4085

---

# 3
# La5Se4S | Alexandria | PBE-GGA | optimized geometry
# raw formation energy	-2.025	eV/atom
data_La5Se4S
_symmetry_space_group_name_H-M 'I 4/m m m'
_symmetry_Int_Tables_number 139
_symmetry_space_group_name_Hall '-I 4 2'
_cell_length_a 4.283
_cell_length_b 4.283
_cell_length_c 30.355
_cell_angle_alpha 90.00
_cell_angle_beta 90.00
_cell_angle_gamma 90.00
loop_
_atom_site_label
_atom_site_fract_x
_atom_site_fract_y
_atom_site_fract_z
La1 0.000 0.000 0.000
La2 0.000 0.000 0.201
La3 0.000 0.000 0.403
Se1 0.000 0.000 0.100
Se2 0.000 0.000 0.302
S1 0.000 0.000 0.500

---

# 4
# CaLa2Zn | Alexandria | PBE-GGA | optimized geometry
# formation energy from the elements	-0.0042	eV per atom
data_CaLa2Zn
_symmetry_space_group_name_H-M 'P 1 2/m 1'
_symmetry_Int_Tables_number 10
_cell_length_a 3.885
_cell_length_b 5.239
_cell_length_c 6.629
_cell_angle_alpha 90.00
_cell_angle_beta 105.51
_cell_angle_gamma 90.00
loop_
_symmetry_equiv_pos_as_xyz
'x,y,z'
'-x,-y,-z'
'-x,y,-z'
'x,-y,z'
loop_
_atom_site_label
_atom_site_fract_x
_atom_site_fract_y
_atom_site_fract_z
Ca1 0.000 0.000 0.000
La1 0.391 0.500 0.711
Zn1 0.000 0.000 0.500

---

# 5
# LiTaSi2 | Alexandria | PBE-GGA | optimized geometry
# raw formation energy	-0.100	eV/atom
# relative energy among the computed polymorphs	135	meV per atom
data_LiTaSi2
_symmetry_space_group_name_H-M 'R -3 m'
_symmetry_Int_Tables_number 166
_symmetry_space_group_name_Hall '-R 3 2"'
_cell_length_a 2.9099
_cell_length_b 2.9099
_cell_length_c 25.9761
_cell_angle_alpha 90.00
_cell_angle_beta 90.00
_cell_angle_gamma 120.00
loop_
_atom_site_label
_atom_site_fract_x
_atom_site_fract_y
_atom_site_fract_z
Li1 0.0000 0.0000 0.0000
Ta1 0.0000 0.0000 0.5000
Si1 0.0000 0.0000 0.2501

---

# 6
# TeIO2F | Alexandria | PBE-GGA | optimized geometry
# raw formation energy	0.003	eV/atom
data_TeIO2F
_symmetry_space_group_name_H-M 'P 4/m m m'
_symmetry_Int_Tables_number 123
_symmetry_space_group_name_Hall '-P 4 2'
_cell_length_a 3.948
_cell_length_b 3.948
_cell_length_c 7.150
_cell_angle_alpha 90.00
_cell_angle_beta 90.00
_cell_angle_gamma 90.00
loop_
_atom_site_label
_atom_site_fract_x
_atom_site_fract_y
_atom_site_fract_z
Te1 0.000 0.000 0.000
I1 0.500 0.500 0.500
O1 0.000 0.500 0.500
F1 0.500 0.500 0.000

---

# 7
# SrTlSi2 | Alexandria | PBE-GGA | optimized geometry
# raw formation energy	0.198	eV/atom
# relative energy among the computed polymorphs	313	meV per atom
data_SrTlSi2
_symmetry_space_group_name_H-M 'I -4 2 d'
_symmetry_Int_Tables_number 122
_symmetry_space_group_name_Hall 'I -4 2bw'
_cell_length_a 4.794
_cell_length_b 4.794
_cell_length_c 19.962
_cell_angle_alpha 90.00
_cell_angle_beta 90.00
_cell_angle_gamma 90.00
loop_
_atom_site_label
_atom_site_fract_x
_atom_site_fract_y
_atom_site_fract_z
Sr1 0.000 0.000 0.000
Tl1 0.000 0.000 0.500
Si1 0.061 0.250 0.625

---

# 8
# HoEr2Zr | Alexandria | PBE-GGA | optimized geometry
# relative energy among the computed polymorphs	9	meV per atom
# formation energy from the elements	0.0623	eV per atom
data_HoEr2Zr
_symmetry_space_group_name_H-M 'P 4/m m m'
_symmetry_Int_Tables_number 123
_symmetry_space_group_name_Hall '-P 4 2'
_cell_length_a 3.408
_cell_length_b 3.408
_cell_length_c 9.760
_cell_angle_alpha 90.00
_cell_angle_beta 90.00
_cell_angle_gamma 90.00
loop_
_atom_site_label
_atom_site_fract_x
_atom_site_fract_y
_atom_site_fract_z
Ho1 0.000 0.000 0.000
Er1 0.500 0.500 0.267
Zr1 0.000 0.000 0.500

---

# 9
# BaFeHg | Alexandria | PBE-GGA | optimized geometry
# relative energy among the computed polymorphs	610	meV per atom
# formation energy from the elements	0.8273	eV per atom
data_BaFeHg
_symmetry_space_group_name_H-M 'F -4 3 m'
_symmetry_Int_Tables_number 216
_symmetry_space_group_name_Hall 'F -4 2 3'
_cell_length_a 7.709
_cell_length_b 7.709
_cell_length_c 7.709
_cell_angle_alpha 90.00
_cell_angle_beta 90.00
_cell_angle_gamma 90.00
loop_
_atom_site_label
_atom_site_fract_x
_atom_site_fract_y
_atom_site_fract_z
Ba1 0.000 0.000 0.000
Fe1 0.250 0.250 0.250
Hg1 0.250 0.250 0.750

---

# 10
# NdNi2Hg | Alexandria | PBE-GGA | optimized geometry
# formation energy from the elements	-0.2102	eV per atom
data_NdNi2Hg
_symmetry_space_group_name_H-M 'R -3 m'
_symmetry_Int_Tables_number 166
_symmetry_space_group_name_Hall '-R 3 2"'
_cell_length_a 4.4535
_cell_length_b 4.4535
_cell_length_c 13.6179
_cell_angle_alpha 90.00
_cell_angle_beta 90.00
_cell_angle_gamma 120.00
loop_
_atom_site_label
_atom_site_fract_x
_atom_site_fract_y
_atom_site_fract_z
Nd1 0.0000 0.0000 0.0000
Ni1 0.0000 0.0000 0.2027
Hg1 0.0000 0.0000 0.5000

---

# 11
# In2AuBr | Alexandria | PBE-GGA | optimized geometry
# raw formation energy	-0.309	eV/atom
# relative energy among the computed polymorphs	35	meV per atom
data_In2AuBr
_symmetry_space_group_name_H-M 'C 1 m 1'
_symmetry_Int_Tables_number 8
_cell_length_a 14.741
_cell_length_b 3.769
_cell_length_c 4.232
_cell_angle_alpha 90.00
_cell_angle_beta 90.15
_cell_angle_gamma 90.00
loop_
_symmetry_equiv_pos_as_xyz
'x,y,z'
'x,-y,z'
'x+1/2,y+1/2,z'
'x+1/2,-y+1/2,z'
loop_
_atom_site_label
_atom_site_fract_x
_atom_site_fract_y
_atom_site_fract_z
In1 0.000 0.000 0.000
In2 0.194 0.000 0.502
Au1 0.160 0.500 0.001
Br1 0.387 0.000 0.500

---

# 12
# LaSm4Sn4 | Alexandria | PBE-GGA | optimized geometry
# formation energy from the elements	-0.4694	eV per atom
data_LaSm4Sn4
_symmetry_space_group_name_H-M 'P 42/n'
_symmetry_Int_Tables_number 86
_cell_length_a 10.077
_cell_length_b 10.077
_cell_length_c 6.269
_cell_angle_alpha 90.00
_cell_angle_beta 90.00
_cell_angle_gamma 90.00
loop_
_symmetry_equiv_pos_as_xyz
'x,y,z'
'-x,-y,-z'
'-y,x+1/2,z+1/2'
'y,-x+1/2,-z+1/2'
'-x+1/2,-y+1/2,z'
'x+1/2,y+1/2,-z'
'y+1/2,-x,z+1/2'
'-y+1/2,x,-z+1/2'
loop_
_atom_site_label
_atom_site_fract_x
_atom_site_fract_y
_atom_site_fract_z
La1 0.250 0.250 0.250
Sm1 0.093 0.648 0.140
Sn1 0.036 0.613 0.647

---

Calculated total DFT energy (no corrections) in order - -29.0; -259.0; -125.9; -13.1; -75.0; -16.5; -56.4; -22.0; -32.8; -52.4; -23.3; -88.1 eV per cell